Computed, not measured: a relaxed structure of Ta2CdTc at the PBE level of DFT.

## Properties
The formation energy comes out at 0.207 eV per atom. The value obtained for the density of states at the Fermi level is 0.720 states/eV/atom.

Structure (CIF):
```
data_Ta2CdTc
_space_group_name_H-M_alt 'C 1 2/m 1'
_space_group_IT_number 12
_space_group_name_Hall '-C 2y'
_cell_length_a 5.713
_cell_length_b 9.306
_cell_length_c 2.770
_cell_angle_alpha 90.00
_cell_angle_beta 107.84
_cell_angle_gamma 90.00
loop_
_atom_site_label
_atom_site_fract_x
_atom_site_fract_y
_atom_site_fract_z
_atom_site_occupancy
Ta1 0.250 0.250 0.000 1
Cd1 0.000 0.000 0.500 1
Tc1 0.000 0.500 0.500 1
```

Computed, not measured: a relaxed structure of TaCdTc4 at the PBE level of DFT.

## Properties
The formation energy comes out at 0.142 eV per atom. The value obtained for the density of states at the Fermi level is 1.034 states/eV/atom.

Structure (CIF):
```
data_TaCdTc4
_space_group_name_H-M_alt 'F -4 3 m'
_space_group_IT_number 216
_space_group_name_Hall 'F -4 2 3'
_cell_length_a 7.333
_cell_length_b 7.333
_cell_length_c 7.333
_cell_angle_alpha 90.00
_cell_angle_beta 90.00
_cell_angle_gamma 90.00
loop_
_atom_site_label
_atom_site_fract_x
_atom_site_fract_y
_atom_site_fract_z
_atom_site_occupancy
Ta1 0.000 0.000 0.000 1
Cd1 0.250 0.250 0.250 1
Tc1 0.125 0.125 0.625 1
```

Computed, not measured: a relaxed structure of TaCd2Tc at the PBE level of DFT.

## Properties
The formation energy comes out at 0.352 eV per atom. The value obtained for the density of states at the Fermi level is 0.687 states/eV/atom.

Structure (CIF):
```
data_TaCd2Tc
_space_group_name_H-M_alt 'P 1 2/m 1'
_space_group_IT_number 10
_space_group_name_Hall '-P 2y'
_cell_length_a 2.794
_cell_length_b 4.807
_cell_length_c 5.529
_cell_angle_alpha 90.00
_cell_angle_beta 103.13
_cell_angle_gamma 90.00
loop_
_atom_site_label
_atom_site_fract_x
_atom_site_fract_y
_atom_site_fract_z
_atom_site_occupancy
Ta1 0.000 0.000 0.000 1
Cd1 0.441 0.500 0.743 1
Tc1 0.000 0.000 0.500 1
```

Computed, not measured: a relaxed structure of Ta2CdTc at the PBE level of DFT.

## Properties
The formation energy comes out at 0.268 eV per atom. The value obtained for the density of states at the Fermi level is 0.956 states/eV/atom.

Structure (CIF):
```
data_Ta2CdTc
_space_group_name_H-M_alt 'I -4 m 2'
_space_group_IT_number 119
_space_group_name_Hall 'I -4 -2'
_cell_length_a 4.012
_cell_length_b 4.012
_cell_length_c 8.740
_cell_angle_alpha 90.00
_cell_angle_beta 90.00
_cell_angle_gamma 90.00
loop_
_atom_site_label
_atom_site_fract_x
_atom_site_fract_y
_atom_site_fract_z
_atom_site_occupancy
Ta1 0.000 0.000 0.000 1
Ta2 0.000 0.500 0.250 1
Cd1 0.000 0.000 0.500 1
Tc1 0.000 0.500 0.750 1
```

Computed, not measured: a relaxed structure of Ta2CdTc at the PBE level of DFT.

## Properties
The formation energy comes out at 0.198 eV per atom. The value obtained for the density of states at the Fermi level is 0.672 states/eV/atom.

Structure (CIF):
```
data_Ta2CdTc
_space_group_name_H-M_alt 'R -3 m'
_space_group_IT_number 166
_space_group_name_Hall '-R 3 2"'
_cell_length_a 3.0853
_cell_length_b 3.0853
_cell_length_c 26.8790
_cell_angle_alpha 90.00
_cell_angle_beta 90.00
_cell_angle_gamma 120.00
loop_
_atom_site_label
_atom_site_fract_x
_atom_site_fract_y
_atom_site_fract_z
_atom_site_occupancy
Ta1 0.0000 0.0000 0.2396 1
Cd1 0.0000 0.0000 0.0000 1
Tc1 0.0000 0.0000 0.5000 1
```

Computed, not measured: a relaxed structure of Ta2CdTc at the PBE level of DFT.

## Properties
The formation energy comes out at 0.097 eV per atom. The value obtained for the density of states at the Fermi level is 0.639 states/eV/atom.

Structure (CIF):
```
data_Ta2CdTc
_space_group_name_H-M_alt 'P 4 m m'
_space_group_IT_number 99
_space_group_name_Hall 'P 4 -2'
_cell_length_a 3.218
_cell_length_b 3.218
_cell_length_c 6.961
_cell_angle_alpha 90.00
_cell_angle_beta 90.00
_cell_angle_gamma 90.00
loop_
_atom_site_label
_atom_site_fract_x
_atom_site_fract_y
_atom_site_fract_z
_atom_site_occupancy
Ta1 0.000 0.000 0.000 1
Ta2 0.500 0.500 0.253 1
Cd1 0.500 0.500 0.716 1
Tc1 0.000 0.000 0.452 1
```

Computed, not measured: a relaxed structure of Ta4CdTc at the PBE level of DFT.

## Properties
The formation energy comes out at 0.460 eV per atom. The value obtained for the density of states at the Fermi level is 1.091 states/eV/atom.

Structure (CIF):
```
data_Ta4CdTc
_space_group_name_H-M_alt 'F -4 3 m'
_space_group_IT_number 216
_space_group_name_Hall 'F -4 2 3'
_cell_length_a 7.659
_cell_length_b 7.659
_cell_length_c 7.659
_cell_angle_alpha 90.00
_cell_angle_beta 90.00
_cell_angle_gamma 90.00
loop_
_atom_site_label
_atom_site_fract_x
_atom_site_fract_y
_atom_site_fract_z
_atom_site_occupancy
Ta1 0.124 0.124 0.124 1
Cd1 0.000 0.000 0.500 1
Tc1 0.250 0.250 0.750 1
```

Computed, not measured: a relaxed structure of TaTlCd2Tc at the PBE level of DFT.

## Properties
The formation energy comes out at 1.953 eV per atom. The value obtained for the density of states at the Fermi level is 0.889 states/eV/atom.

Structure (CIF):
```
data_TaTlCd2Tc
_space_group_name_H-M_alt 'P 4/m m m'
_space_group_IT_number 123
_space_group_name_Hall '-P 4 2'
_cell_length_a 5.115
_cell_length_b 5.115
_cell_length_c 5.390
_cell_angle_alpha 90.00
_cell_angle_beta 90.00
_cell_angle_gamma 90.00
loop_
_atom_site_label
_atom_site_fract_x
_atom_site_fract_y
_atom_site_fract_z
_atom_site_occupancy
Ta1 0.000 0.000 0.000 1
Tl1 0.000 0.000 0.500 1
Cd1 0.000 0.500 0.500 1
Tc1 0.500 0.500 0.000 1
```

Computed, not measured: a relaxed structure of Ta2VCdTc at the PBE level of DFT.

## Properties
The formation energy comes out at 1.051 eV per atom. The value obtained for the density of states at the Fermi level is 0.791 states/eV/atom.

Structure (CIF):
```
data_Ta2VCdTc
_space_group_name_H-M_alt 'P 4/m m m'
_space_group_IT_number 123
_space_group_name_Hall '-P 4 2'
_cell_length_a 4.856
_cell_length_b 4.856
_cell_length_c 4.498
_cell_angle_alpha 90.00
_cell_angle_beta 90.00
_cell_angle_gamma 90.00
loop_
_atom_site_label
_atom_site_fract_x
_atom_site_fract_y
_atom_site_fract_z
_atom_site_occupancy
Ta1 0.000 0.500 0.000 1
V1 0.000 0.000 0.500 1
Cd1 0.500 0.500 0.500 1
Tc1 0.000 0.000 0.000 1
```

Computed, not measured: a relaxed structure of Ta2CdTe at the PBE level of DFT.

## Properties
The calculation puts the formation energy (no corrections) at 2.72 eV per formula unit. The value obtained for the density of states at the Fermi level is 1.526 states/eV/atom.

Structure (CIF):
```
data_Ta2CdTe
_space_group_name_H-M_alt 'F -4 3 m'
_space_group_IT_number 216
_space_group_name_Hall 'F -4 2 3'
_cell_length_a 6.911
_cell_length_b 6.911
_cell_length_c 6.911
_cell_angle_alpha 90.00
_cell_angle_beta 90.00
_cell_angle_gamma 90.00
loop_
_atom_site_label
_atom_site_fract_x
_atom_site_fract_y
_atom_site_fract_z
_atom_site_occupancy
Ta1 0.000 0.000 0.000 1
Ta2 0.250 0.250 0.250 1
Cd1 0.250 0.250 0.750 1
Te1 0.000 0.000 0.500 1
```

Computed, not measured: a relaxed structure of Ta2CdTe at the PBE level of DFT.

## Properties
The calculation puts the formation energy (no corrections) at 0.74 eV per formula unit. The value obtained for the density of states at the Fermi level is 0.978 states/eV/atom.

Structure (CIF):
```
data_Ta2CdTe
_space_group_name_H-M_alt 'P 4 m m'
_space_group_IT_number 99
_space_group_name_Hall 'P 4 -2'
_cell_length_a 3.468
_cell_length_b 3.468
_cell_length_c 7.405
_cell_angle_alpha 90.00
_cell_angle_beta 90.00
_cell_angle_gamma 90.00
loop_
_atom_site_label
_atom_site_fract_x
_atom_site_fract_y
_atom_site_fract_z
_atom_site_occupancy
Ta1 0.000 0.000 0.000 1
Ta2 0.500 0.500 0.191 1
Cd1 0.500 0.500 0.762 1
Te1 0.000 0.000 0.408 1
```

Computed, not measured: a relaxed structure of Ta2CdTe at the PBE level of DFT.

## Properties
The calculation puts the formation energy (no corrections) at 2.20 eV per formula unit. The value obtained for the density of states at the Fermi level is 1.167 states/eV/atom.

Structure (CIF):
```
data_Ta2CdTe
_space_group_name_H-M_alt 'F m -3 m'
_space_group_IT_number 225
_space_group_name_Hall '-F 4 2 3'
_cell_length_a 6.789
_cell_length_b 6.789
_cell_length_c 6.789
_cell_angle_alpha 90.00
_cell_angle_beta 90.00
_cell_angle_gamma 90.00
loop_
_atom_site_label
_atom_site_fract_x
_atom_site_fract_y
_atom_site_fract_z
_atom_site_occupancy
Ta1 0.250 0.250 0.250 1
Cd1 0.000 0.000 0.000 1
Te1 0.000 0.000 0.500 1
```

Computed, not measured: a relaxed structure of Ta2CdTe at the PBE level of DFT.

## Properties
The calculation puts the formation energy (no corrections) at 2.35 eV per formula unit. The value obtained for the density of states at the Fermi level is 1.011 states/eV/atom.

Structure (CIF):
```
data_Ta2CdTe
_space_group_name_H-M_alt 'P 4/m m m'
_space_group_IT_number 123
_space_group_name_Hall '-P 4 2'
_cell_length_a 4.272
_cell_length_b 4.272
_cell_length_c 4.414
_cell_angle_alpha 90.00
_cell_angle_beta 90.00
_cell_angle_gamma 90.00
loop_
_atom_site_label
_atom_site_fract_x
_atom_site_fract_y
_atom_site_fract_z
_atom_site_occupancy
Ta1 0.000 0.500 0.000 1
Cd1 0.000 0.000 0.500 1
Te1 0.500 0.500 0.500 1
```

Computed, not measured: a relaxed structure of Ta2CdTe at the PBE level of DFT.

## Properties
The calculation puts the formation energy (no corrections) at 2.09 eV per formula unit. The value obtained for the density of states at the Fermi level is 1.236 states/eV/atom.

Structure (CIF):
```
data_Ta2CdTe
_space_group_name_H-M_alt 'I -4 m 2'
_space_group_IT_number 119
_space_group_name_Hall 'I -4 -2'
_cell_length_a 4.196
_cell_length_b 4.196
_cell_length_c 9.059
_cell_angle_alpha 90.00
_cell_angle_beta 90.00
_cell_angle_gamma 90.00
loop_
_atom_site_label
_atom_site_fract_x
_atom_site_fract_y
_atom_site_fract_z
_atom_site_occupancy
Ta1 0.000 0.000 0.000 1
Ta2 0.000 0.500 0.250 1
Cd1 0.000 0.000 0.500 1
Te1 0.000 0.500 0.750 1
```

Computed, not measured: a relaxed structure of Ta2CdTe at the PBE level of DFT.

## Properties
The calculation puts the formation energy (no corrections) at 1.68 eV per formula unit. The value obtained for the density of states at the Fermi level is 1.133 states/eV/atom.

Structure (CIF):
```
data_Ta2CdTe
_space_group_name_H-M_alt 'R -3 m'
_space_group_IT_number 166
_space_group_name_Hall '-R 3 2"'
_cell_length_a 3.1272
_cell_length_b 3.1272
_cell_length_c 28.5830
_cell_angle_alpha 90.00
_cell_angle_beta 90.00
_cell_angle_gamma 120.00
loop_
_atom_site_label
_atom_site_fract_x
_atom_site_fract_y
_atom_site_fract_z
_atom_site_occupancy
Ta1 0.0000 0.0000 0.2468 1
Cd1 0.0000 0.0000 0.0000 1
Te1 0.0000 0.0000 0.5000 1
```

Computed, not measured: a relaxed structure of Ta4CdTe8 at the PBE level of DFT.

## Properties
The calculation puts the formation energy (no corrections) at -3.48 eV per formula unit. The value obtained for the density of states at the Fermi level is 0.575 states/eV/atom.

Structure (CIF):
```
data_Ta4CdTe8
_space_group_name_H-M_alt 'R -3 m'
_space_group_IT_number 166
_space_group_name_Hall '-R 3 2"'
_cell_length_a 7.3838
_cell_length_b 7.3838
_cell_length_c 25.2991
_cell_angle_alpha 90.00
_cell_angle_beta 90.00
_cell_angle_gamma 120.00
loop_
_atom_site_label
_atom_site_fract_x
_atom_site_fract_y
_atom_site_fract_z
_atom_site_occupancy
Ta1 0.0000 0.0000 0.0000 1
Ta2 0.0000 0.5000 0.0000 1
Cd1 0.0000 0.0000 0.5000 1
Te1 0.0000 0.0000 0.2607 1
Te2 0.0010 0.5005 0.2609 1
```

Computed, not measured: a relaxed structure of Ta2CdTe at the PBE level of DFT.

## Properties
The calculation puts the formation energy (no corrections) at 1.63 eV per formula unit. The value obtained for the density of states at the Fermi level is 0.552 states/eV/atom.

Structure (CIF):
```
data_Ta2CdTe
_space_group_name_H-M_alt 'P 1 m 1'
_space_group_IT_number 6
_space_group_name_Hall 'P -2y'
_cell_length_a 3.091
_cell_length_b 4.968
_cell_length_c 5.567
_cell_angle_alpha 90.00
_cell_angle_beta 103.20
_cell_angle_gamma 90.00
loop_
_atom_site_label
_atom_site_fract_x
_atom_site_fract_y
_atom_site_fract_z
_atom_site_occupancy
Ta1 0.000 0.000 0.000 1
Ta2 0.280 0.500 0.771 1
Cd1 0.622 0.000 0.496 1
Te1 0.991 0.500 0.219 1
```

Computed, not measured: a relaxed structure of Ta2CdTe at the PBE level of DFT.

## Properties
The calculation puts the formation energy (no corrections) at 1.53 eV per formula unit. The value obtained for the density of states at the Fermi level is 0.601 states/eV/atom.

Structure (CIF):
```
data_Ta2CdTe
_space_group_name_H-M_alt 'C 1 m 1'
_space_group_IT_number 8
_space_group_name_Hall 'C -2y'
_cell_length_a 10.323
_cell_length_b 3.409
_cell_length_c 4.959
_cell_angle_alpha 90.00
_cell_angle_beta 110.84
_cell_angle_gamma 90.00
loop_
_atom_site_label
_atom_site_fract_x
_atom_site_fract_y
_atom_site_fract_z
_atom_site_occupancy
Ta1 0.000 0.000 0.000 1
Ta2 0.223 0.500 0.260 1
Cd1 0.483 0.000 0.479 1
Te1 0.256 0.000 0.793 1
```

Computed, not measured: a relaxed structure of Ta2CdTe at the PBE level of DFT.

## Properties
The calculation puts the formation energy (no corrections) at 2.29 eV per formula unit. The value obtained for the density of states at the Fermi level is 0.729 states/eV/atom.

Structure (CIF):
```
data_Ta2CdTe
_space_group_name_H-M_alt 'C m m m'
_space_group_IT_number 65
_space_group_name_Hall '-C 2 2'
_cell_length_a 3.486
_cell_length_b 5.012
_cell_length_c 9.329
_cell_angle_alpha 90.00
_cell_angle_beta 90.00
_cell_angle_gamma 90.00
loop_
_atom_site_label
_atom_site_fract_x
_atom_site_fract_y
_atom_site_fract_z
_atom_site_occupancy
Ta1 0.000 0.000 0.240 1
Cd1 0.000 0.500 0.500 1
Te1 0.000 0.500 0.000 1
```

Computed, not measured: a relaxed structure of Ta2CdTe at the PBE level of DFT.

## Properties
The calculation puts the formation energy (no corrections) at 1.95 eV per formula unit. The value obtained for the density of states at the Fermi level is 0.878 states/eV/atom.

Structure (CIF):
```
data_Ta2CdTe
_space_group_name_H-M_alt 'C m m m'
_space_group_IT_number 65
_space_group_name_Hall '-C 2 2'
_cell_length_a 6.973
_cell_length_b 6.980
_cell_length_c 3.218
_cell_angle_alpha 90.00
_cell_angle_beta 90.00
_cell_angle_gamma 90.00
loop_
_atom_site_label
_atom_site_fract_x
_atom_site_fract_y
_atom_site_fract_z
_atom_site_occupancy
Ta1 0.250 0.250 0.000 1
Cd1 0.000 0.000 0.500 1
Te1 0.000 0.500 0.500 1
```